1.
MoIr3Pt, relaxed, DFT PBE; Fermi-level density of states = 8.61 states/eV/f.u.; E_form = 1.802 eV per atom
1.0
4.662 0.000 0.000
0.000 4.662 0.000
0.000 0.000 4.662
Mo Ir Pt
1 3 1
direct
0.000 0.000 0.000
0.000 0.000 0.500
0.000 0.500 0.000
0.500 0.000 0.000
0.500 0.500 0.500

=====

2.
Al3V4Cr, relaxed, DFT PBE; polymorph energy (0 for the lowest one) = 4 meV per atom; Fermi-level density of states = 6.51 states/eV/f.u.; E_form = -0.131 eV per atom
1.0
4.367 0.000 0.000
0.000 5.865 0.000
0.000 0.000 8.702
V Al Cr
8 6 2
direct
0.564 0.112 0.500
0.564 0.891 0.266
0.564 0.891 0.734
0.564 0.124 0.000
0.064 0.109 0.234
0.064 0.109 0.766
0.064 0.876 0.500
0.064 0.888 0.000
0.064 0.364 0.500
0.564 0.369 0.746
0.564 0.369 0.254
0.064 0.631 0.246
0.564 0.636 0.000
0.064 0.631 0.754
0.064 0.364 0.000
0.564 0.636 0.500

=====

3.
Rb2CdC, relaxed, DFT PBE; polymorph energy (0 for the lowest one) = 466 meV per atom; Fermi-level density of states = 3.38 states/eV/f.u.; E_form = 1.268 eV per atom
1.0
0.000 4.168 4.168
4.168 0.000 4.168
4.168 4.168 0.000
Rb Cd C
2 1 1
direct
0.750 0.750 0.750
0.250 0.250 0.250
0.500 0.500 0.500
0.000 0.000 0.000

=====

4.
CaPIrS2, relaxed, DFT PBE; polymorph energy (0 for the lowest one) = 1766 meV per atom; Fermi-level density of states = 6.79 states/eV/f.u.; formation energy without anion corrections = 1.435 eV/atom
1.0
-2.048 -4.369 1.339
4.143 -1.156 2.563
-1.985 2.220 4.210
Ir S Ca P
1 2 1 1
direct
0.500 0.500 0.500
0.500 0.000 0.000
0.000 0.500 0.000
0.000 0.000 0.000
0.000 0.000 0.500

=====

5.
ZrCdSn2, relaxed, DFT PBE; Fermi-level density of states = 0.94 states/eV/f.u.; E_form = 0.104 eV per atom
1.0
8.010 0.000 0.000
0.000 8.010 0.000
4.005 4.005 3.124
Zr Cd Sn
2 2 4
direct
0.500 0.500 0.000
0.250 0.750 0.500
0.000 0.000 0.000
0.750 0.250 0.500
0.638 0.125 0.250
0.875 0.888 0.750
0.112 0.625 0.250
0.375 0.362 0.750

=====

6.
Zn2IrRh, relaxed, DFT PBE; Fermi-level density of states = 3.31 states/eV/f.u.; E_form = 0.016 eV per atom
1.0
2.741 -0.005 0.000
-1.360 2.380 0.000
0.000 0.000 8.968
Ir Zn Rh
1 2 1
direct
0.000 0.000 0.498
0.000 0.000 0.996
0.500 0.500 0.252
0.500 0.500 0.754

=====

7.
ZrPt2W, relaxed, DFT PBE; Fermi-level density of states = 4.39 states/eV/f.u.; E_form = -0.127 eV per atom
1.0
9.807 0.021 0.012
9.383 2.852 0.012
9.383 1.405 2.482
W Pt Zr
1 2 1
direct
0.506 0.506 0.506
0.248 0.248 0.248
0.998 0.998 0.998
0.748 0.748 0.748

=====

8.
Hf2NbFe, relaxed, DFT PBE; polymorph energy (0 for the lowest one) = 0 meV per atom; Fermi-level density of states = 3.71 states/eV/f.u.; E_form = -0.105 eV per atom
1.0
3.156 0.000 0.000
0.000 3.156 0.000
0.000 0.000 7.158
Fe Hf Nb
1 2 1
direct
0.500 0.500 0.000
0.000 0.000 0.217
0.000 0.000 0.783
0.500 0.500 0.500